# 1
! LaSiRhN, optimized geometry, DFT PBE-GGA; values from VASP
&SYSTEM
  ibrav = 0, nat = 8, ntyp = 4
/
ATOMIC_SPECIES
La 138.91 La.upf
Si 28.09 Si.upf
Rh 102.91 Rh.upf
N 14.01 N.upf
CELL_PARAMETERS angstrom
4.017 0.000 0.000
0.000 4.017 0.000
0.000 0.000 8.264
ATOMIC_POSITIONS angstrom
La 1.004 1.004 1.316
La 3.013 3.013 6.948
Si 1.004 1.004 5.405
Si 3.013 3.013 2.859
Rh 1.004 3.013 4.132
Rh 3.013 1.004 4.132
N 1.004 1.004 7.169
N 3.013 3.013 1.095
! crystal system	tetragonal
! formation energy (no corrections)	-1275	meV per atom
! SG	P4/nmm

---

# 2
! Cu2Se, optimized geometry, DFT PBE-GGA; values from VASP
&SYSTEM
  ibrav = 0, nat = 6, ntyp = 2
/
ATOMIC_SPECIES
Cu 63.55 Cu.upf
Se 78.96 Se.upf
CELL_PARAMETERS angstrom
5.214 0.000 0.000
0.000 5.214 0.000
0.000 0.000 4.139
ATOMIC_POSITIONS angstrom
Cu 0.922 0.922 0.000
Cu 1.685 3.529 2.069
Cu 3.529 1.685 2.069
Cu 4.292 4.292 0.000
Se 0.000 0.000 2.069
Se 2.607 2.607 0.000
! crystal system	tetragonal
! formation energy (no corrections)	110	meV per atom
! SG	P4_2/mnm

---

# 3
! Ca2SiBiPd6, optimized geometry, DFT PBE-GGA; values from VASP
&SYSTEM
  ibrav = 0, nat = 10, ntyp = 4
/
ATOMIC_SPECIES
Ca 40.08 Ca.upf
Si 28.09 Si.upf
Bi 208.98 Bi.upf
Pd 106.42 Pd.upf
CELL_PARAMETERS angstrom
0.000 4.858 4.858
4.858 0.000 4.858
4.858 4.858 0.000
ATOMIC_POSITIONS angstrom
Ca 2.429 2.429 2.429
Ca 7.287 7.287 7.287
Si 0.000 0.000 0.000
Bi 4.858 4.858 4.858
Pd 4.858 4.858 2.252
Pd 4.858 2.252 4.858
Pd 7.464 4.858 4.858
Pd 2.252 4.858 4.858
Pd 4.858 7.464 4.858
Pd 4.858 4.858 7.464
! crystal system	cubic
! formation energy (no corrections)	-340	meV per atom
! SG	Fm-3m